1.
The following is a PBE calculation of a relaxed structure of GaSb2Cl, from Alexandria via LeMat-Bulk.

Cell: 4.3398 4.3398 23.8646 Å, 90.00 90.00 90.00°
Closest atoms and distances in Å follow each position.
Space group I-42d (No. 122)
Symmetry-distinct sites (fractional):
Ga (0.0000, 0.0000, 0.0000)  4 Cl 3.07, 4 Sb 3.31
Sb (0.2183, 0.2500, 0.1250)  2 Sb 2.88
Cl (0.0000, 0.0000, 0.5000)  4 Ga 3.07, 4 Sb 3.40

Summary:
- Crystal system: tetragonal
- Total moment: 0.0 μB/f.u.
- Electronic total energy: -0.1240 Ha/atom
- Excess energy over the best structure of this formula in the dataset: 0 meV/atom
- DOS(E_F): 0.1141 states/eV/atom
- Energy relative to the elements, uncorrected: -37 kJ/mol of formula units


2.
The following is a PBE calculation of a relaxed structure of NaYAgBi, from Alexandria via LeMat-Bulk.

Cell: 7.4802 7.4802 7.4802 Å, 90.00 90.00 90.00°
Closest atoms and distances in Å follow each position.
Space group F-43m (No. 216)
Symmetry-distinct sites (fractional):
Na (0.0000, 0.0000, 0.0000)  4 Bi 3.24, 4 Ag 3.24
Y (0.0000, 0.0000, 0.5000)  4 Ag 3.24, 4 Bi 3.24
Ag (0.2500, 0.2500, 0.2500)  4 Na 3.24, 4 Y 3.24
Bi (0.2500, 0.2500, 0.7500)  4 Y 3.24, 4 Na 3.24

Summary:
- Crystal system: cubic
- Total moment: 0.0 μB/f.u.
- Electronic total energy: -0.1469 Ha/atom
- Formation energy from the elements: -369 meV/atom
- DOS(E_F): 0.3225 states/eV/atom


3.
The following is a PBE calculation of a relaxed structure of Cu2MoIr, from Alexandria via LeMat-Bulk.

Cell: 2.7425 2.7425 25.7754 Å, 90.00 90.00 120.00°
Closest atoms and distances in Å follow each position.
Space group R3m (No. 160, hexagonal axes)
Symmetry-distinct sites (fractional):
Cu (0.0000, 0.0000, 0.0000)  9 Cu 2.54-2.74, 3 Ir 2.72
Cu (0.0000, 0.0000, 0.2563)  9 Cu 2.54-2.74, 3 Mo 2.76
Mo (0.0000, 0.0000, 0.5021)  3 Ir 2.67, 6 Mo 2.74, 3 Cu 2.76
Ir (0.0000, 0.0000, 0.7523)  3 Mo 2.67, 3 Cu 2.72, 6 Ir 2.74

Summary:
- Crystal system: trigonal
- Total moment: 0.0 μB/f.u.
- Electronic total energy: -0.2538 Ha/atom
- Excess energy over the best structure of this formula in the dataset: 33 meV/atom
- Formation energy from the elements: 66 meV/atom
- DOS(E_F): 1.1139 states/eV/atom


4.
The following is a PBE calculation of a relaxed structure of NdTmTaN3, from Alexandria via LeMat-Bulk.

Cell: 7.2997 3.4264 8.0191 Å, 90.00 92.84 90.00°
Closest atoms and distances in Å follow each position.
Space group P2_1/m (No. 11)
Symmetry-distinct sites (fractional):
Nd (0.1552, 0.2500, 0.1673)  5 N 2.48-2.76
Tm (0.3857, 0.7500, 0.8549)  3 N 2.17-2.35
Ta (0.1267, 0.2500, 0.5805)  4 N 2.02-2.19
N (0.1416, 0.2500, 0.8324)  1 Ta 2.02
N (0.1734, 0.7500, 0.4515)  3 Ta 2.04-2.19
N (0.3940, 0.7500, 0.1259)  3 Tm 2.17-2.35

Summary:
- Crystal system: monoclinic
- Total moment: 0.0 μB/f.u.
- Electronic total energy: -0.3231 Ha/atom
- DOS(E_F): 0.3057 states/eV/atom
- Energy relative to the elements, uncorrected: -646 kJ/mol of formula units


5.
The following is a PBE calculation of a relaxed structure of CeBiSe2, from Alexandria via LeMat-Bulk.

Cell: 4.1702 4.1702 27.5934 Å, 90.00 90.00 120.00°
Closest atoms and distances in Å follow each position.
Space group R-3m (No. 166, hexagonal axes)
Symmetry-distinct sites (fractional):
Ce (0.0000, 0.0000, 0.0000)  2 Se 2.92
Bi (0.0000, 0.0000, 0.5000)  6 Se 2.94
Se (0.0000, 0.0000, 0.1057)  1 Ce 2.92, 3 Bi 2.94

Summary:
- Crystal system: trigonal
- Total moment: 1.5 μB/f.u.
- Electronic total energy: -0.1672 Ha/atom
- DOS(E_F): 2.0529 states/eV/atom
- Energy relative to the elements, uncorrected: -137 kJ/mol of formula units


6.
The following is a PBE calculation of a relaxed structure of CsAlSCl2, from Alexandria via LeMat-Bulk.

Cell: 6.3312 6.3312 5.6467 Å, 90.00 90.00 90.00°
Closest atoms and distances in Å follow each position.
Space group P4/mmm (No. 123)
Symmetry-distinct sites (fractional):
Cs (0.0000, 0.0000, 0.0000)  2 S 2.82
Al (0.5000, 0.5000, 0.5000)  8 Cl 4.24, 4 S 4.48
S (0.0000, 0.0000, 0.5000)  2 Cs 2.82
Cl (0.0000, 0.5000, 0.0000)  2 Cs 3.17

Summary:
- Crystal system: tetragonal
- Total moment: 1.0 μB/f.u.
- Electronic total energy: -0.0848 Ha/atom
- Excess energy over the best structure of this formula in the dataset: 1441 meV/atom
- DOS(E_F): 1.6186 states/eV/atom
- Energy relative to the elements, uncorrected: 84 kJ/mol of formula units


7.
The following is a PBE calculation of a relaxed structure of AlIrCl2, from Alexandria via LeMat-Bulk.

Cell: 2.9986 2.9986 27.0119 Å, 90.00 90.00 120.00°
Closest atoms and distances in Å follow each position.
Space group R-3m (No. 166, hexagonal axes)
Symmetry-distinct sites (fractional):
Al (0.0000, 0.0000, 0.0000)  6 Cl 2.81, 6 Al 3.00
Ir (0.0000, 0.0000, 0.5000)  2 Cl 2.28
Cl (0.0000, 0.0000, 0.4155)  1 Ir 2.28

Summary:
- Crystal system: trigonal
- Total moment: 0.0 μB/f.u.
- Electronic total energy: -0.1443 Ha/atom
- Excess energy over the best structure of this formula in the dataset: 694 meV/atom
- DOS(E_F): 0.6532 states/eV/atom
- Energy relative to the elements, uncorrected: 57 kJ/mol of formula units


8.
The following is a PBE calculation of a relaxed structure of CaHoAl, from Alexandria via LeMat-Bulk.

Cell: 5.1216 5.1216 7.8043 Å, 90.00 90.00 120.00°
Closest atoms and distances in Å follow each position.
Space group P-3m1 (No. 164)
Symmetry-distinct sites (fractional):
Ca (0.3333, 0.6667, 0.1356)  3 Al 3.30, 4 Ho 3.61-3.62, 3 Ca 3.64
Ho (0.3333, 0.6667, 0.5976)  3 Al 3.02, 3 Ho 3.33
Al (0.0000, 0.0000, 0.3224)  1 Al 2.77, 3 Ho 3.02

Summary:
- Crystal system: trigonal
- Total moment: 0.0 μB/f.u.
- Electronic total energy: -0.1308 Ha/atom
- Excess energy over the best structure of this formula in the dataset: 50 meV/atom
- Formation energy from the elements: -118 meV/atom
- DOS(E_F): 0.5082 states/eV/atom


9.
The following is a PBE calculation of a relaxed structure of Sr2HfOs, from Alexandria via LeMat-Bulk.

Cell: 7.4847 7.4847 7.4847 Å, 90.00 90.00 90.00°
Closest atoms and distances in Å follow each position.
Space group Fm-3m (No. 225)
Symmetry-distinct sites (fractional):
Sr (0.2500, 0.2500, 0.2500)  4 Hf 3.24, 4 Os 3.24
Hf (0.0000, 0.0000, 0.0000)  8 Sr 3.24
Os (0.0000, 0.0000, 0.5000)  8 Sr 3.24

Summary:
- Crystal system: cubic
- Total moment: 0.0 μB/f.u.
- Electronic total energy: -0.1830 Ha/atom
- Excess energy over the best structure of this formula in the dataset: 534 meV/atom
- Formation energy from the elements: 1157 meV/atom
- DOS(E_F): 1.2045 states/eV/atom


10.
The following is a PBE calculation of a relaxed structure of Tl2H2Br, from Alexandria via LeMat-Bulk.

Cell: 8.4839 3.5223 8.6569 Å, 90.00 119.26 90.00°
Closest atoms and distances in Å follow each position.
Space group C2/m (No. 12)
Symmetry-distinct sites (fractional):
Tl (0.0375, 0.0000, 0.2126)  1 H 2.38
H (0.2275, 0.5000, 0.9906)  2 H 1.79
Br (0.0000, 0.5000, 0.5000)  6 Tl 3.19-3.47, 2 Br 3.52

Summary:
- Crystal system: monoclinic
- Total moment: 0.0 μB/f.u.
- Electronic total energy: -0.0908 Ha/atom
- DOS(E_F): 0.1093 states/eV/atom


11.
The following is a PBE calculation of a relaxed structure of CaSbOsI2, from Alexandria via LeMat-Bulk.

Cell: 5.8203 5.8203 6.3343 Å, 90.00 90.00 90.00°
Closest atoms and distances in Å follow each position.
Space group P4/mmm (No. 123)
Symmetry-distinct sites (fractional):
Ca (0.0000, 0.0000, 0.0000)  4 I 2.91, 2 Sb 3.17
Sb (0.0000, 0.0000, 0.5000)  2 Ca 3.17
Os (0.5000, 0.5000, 0.5000)  4 Sb 4.12, 8 I 4.30
I (0.0000, 0.5000, 0.0000)  2 Ca 2.91

Summary:
- Crystal system: tetragonal
- Total moment: 3.0 μB/f.u.
- Electronic total energy: -0.1088 Ha/atom
- Excess energy over the best structure of this formula in the dataset: 947 meV/atom
- DOS(E_F): 1.4132 states/eV/atom
- Energy relative to the elements, uncorrected: 545 kJ/mol of formula units


12.
The following is a PBE calculation of a relaxed structure of PRhC2, from Alexandria via LeMat-Bulk.

Cell: 2.6134 7.9943 8.6595 Å, 90.00 90.00 90.00°
Closest atoms and distances in Å follow each position.
Space group Fmm2 (No. 42)
Symmetry-distinct sites (fractional):
P (0.0000, 0.0000, 0.0000)  2 C 1.89
Rh (0.0000, 0.0000, 0.7180)  2 C 2.23, 3 P 2.30-2.44
C (0.0000, 0.2055, 0.8919)  2 C 1.49

Summary:
- Crystal system: orthorhombic
- Total moment: 0.0 μB/f.u.
- Electronic total energy: -0.2706 Ha/atom
- Formation energy from the elements: 438 meV/atom
- DOS(E_F): 0.1822 states/eV/atom


Question: Which value of total moment does entry 5 give?
Answer: 1.5 μB/f.u.


Question: What is the DOS(E_F) in the third record?
Answer: 1.1139 states/eV/atom